(1)
The following is a PBE-GGA calculation of crystalline SrCu3Rh at its relaxed geometry, from Alexandria.

```
SrCu3Rh
1.0
4.7478 0.0000 0.0000
0.0000 4.7478 0.0000
0.0000 0.0000 4.7478
Sr Cu Rh
1 3 1
Cartesian
0.0000 0.0000 0.0000
0.0000 2.3739 2.3739
2.3739 0.0000 2.3739
2.3739 2.3739 0.0000
2.3739 2.3739 2.3739
```

Results
formation energy from the elements = 253 meV/atom
M_tot = 0.000 μB per atom
density of states at the Fermi level = 4.346 states/eV/cell
SG = No. 221
density = 5.914 g/cm3
ΔE to the lowest computed polymorph = 288 meV per atom

---

(2)
The following is a PBE-GGA calculation of crystalline SrCuRh2 at its relaxed geometry, from Alexandria.

```
SrCuRh2
1.0
6.6045 0.0000 0.0000
0.0000 6.6045 0.0000
0.0000 0.0000 6.6045
Sr Cu Rh
4 4 8
Cartesian
0.0000 0.0000 0.0000
0.0000 3.3023 3.3023
3.3023 0.0000 3.3023
3.3023 3.3023 0.0000
1.6511 1.6511 4.9534
1.6511 4.9534 1.6511
4.9534 1.6511 1.6511
4.9534 4.9534 4.9534
0.0000 0.0000 3.3023
0.0000 3.3023 0.0000
1.6511 1.6511 1.6511
1.6511 4.9534 4.9534
3.3023 0.0000 0.0000
3.3023 3.3023 3.3023
4.9534 1.6511 4.9534
4.9534 4.9534 1.6511
```

Results
formation energy from the elements = 248 meV/atom
M_tot = 0.208 μB per atom
density of states at the Fermi level = 20.469 states/eV/cell
SG = No. 216
density = 8.231 g/cm3
ΔE to the lowest computed polymorph = 386 meV per atom

---

(3)
The following is a PBE-GGA calculation of crystalline SrCuRh2 at its relaxed geometry, from Alexandria.

```
SrCuRh2
1.0
3.0029 0.0000 0.0000
0.0000 4.3717 0.0000
-1.1725 0.0000 5.5986
Sr Cu Rh
1 1 2
Cartesian
0.0000 0.0000 0.0000
0.9152 0.0000 2.7993
0.1510 2.1859 3.8819
1.6793 2.1859 1.7168
```

Results
formation energy from the elements = 167 meV/atom
M_tot = 0.000 μB per atom
density of states at the Fermi level = 3.522 states/eV/cell
SG = No. 10
density = 8.065 g/cm3
ΔE to the lowest computed polymorph = 305 meV per atom

---

(4)
The following is a PBE-GGA calculation of crystalline SrCu2Rh2 at its relaxed geometry, from Alexandria.

```
SrCu2Rh2
1.0
7.5468 0.0000 0.0000
0.0000 7.5468 0.0000
0.0000 0.0000 2.9219
Sr Cu Rh
2 4 4
Cartesian
0.0000 0.0000 0.0000
3.7734 3.7734 0.0000
1.2761 2.4973 1.4610
2.4973 6.2707 1.4610
5.0494 1.2761 1.4610
6.2707 5.0494 1.4610
0.9394 4.7127 0.0000
2.8340 0.9394 0.0000
4.7127 6.6074 0.0000
6.6074 2.8340 0.0000
```

Results
formation energy from the elements = 81 meV/atom
M_tot = 0.000 μB per atom
density of states at the Fermi level = 6.924 states/eV/cell
SG = No. 127
density = 8.392 g/cm3
ΔE to the lowest computed polymorph = 55 meV per atom

---

(5)
The following is a PBE-GGA calculation of crystalline SrCu2Rh2 at its relaxed geometry, from Alexandria.

```
SrCu2Rh2
1.0
4.1112 0.0000 0.0000
0.0000 4.1112 0.0000
0.0000 0.0000 10.7561
Sr Cu Rh
2 4 4
Cartesian
0.0000 0.0000 0.0000
2.0556 2.0556 5.3781
0.0000 0.0000 4.1665
0.0000 0.0000 6.5896
2.0556 2.0556 1.2116
2.0556 2.0556 9.5446
0.0000 2.0556 2.6890
0.0000 2.0556 8.0671
2.0556 0.0000 2.6890
2.0556 0.0000 8.0671
```

Results
formation energy from the elements = 40 meV/atom
M_tot = 0.203 μB per atom
density of states at the Fermi level = 13.120 states/eV/cell
SG = No. 139
density = 7.682 g/cm3
ΔE to the lowest computed polymorph = 14 meV per atom

---

(6)
The following is a PBE-GGA calculation of crystalline SrCu2Rh at its relaxed geometry, from Alexandria.

```
SrCu2Rh
1.0
6.6131 0.0000 0.0000
0.0000 6.6131 0.0000
0.0000 0.0000 6.6131
Sr Cu Rh
4 8 4
Cartesian
0.0000 0.0000 0.0000
0.0000 3.3066 3.3066
3.3066 0.0000 3.3066
3.3066 3.3066 0.0000
0.0000 0.0000 3.3066
0.0000 3.3066 0.0000
1.6533 1.6533 4.9599
1.6533 4.9599 1.6533
3.3066 0.0000 0.0000
3.3066 3.3066 3.3066
4.9599 1.6533 1.6533
4.9599 4.9599 4.9599
1.6533 1.6533 1.6533
1.6533 4.9599 4.9599
4.9599 1.6533 4.9599
4.9599 4.9599 1.6533
```

Results
formation energy from the elements = 257 meV/atom
M_tot = 0.000 μB per atom
density of states at the Fermi level = 4.825 states/eV/cell
SG = No. 216
density = 7.294 g/cm3
ΔE to the lowest computed polymorph = 398 meV per atom

---

(7)
The following is a PBE-GGA calculation of crystalline SrCuRh2 at its relaxed geometry, from Alexandria.

```
SrCuRh2
1.0
3.0016 0.0000 0.0000
0.0000 4.3439 0.0000
-1.4663 0.0000 5.6812
Sr Cu Rh
1 1 2
Cartesian
0.0000 0.0000 0.0000
1.5001 2.1720 1.4839
-0.0002 2.1720 3.5771
1.4950 0.0000 2.8482
```

Results
formation energy from the elements = 134 meV/atom
M_tot = 0.000 μB per atom
density of states at the Fermi level = 3.368 states/eV/cell
SG = No. 6
density = 8.002 g/cm3
ΔE to the lowest computed polymorph = 272 meV per atom

---

(8)
The following is a PBE-GGA calculation of crystalline SrCuRh2 at its relaxed geometry, from Alexandria.

```
SrCuRh2
1.0
3.0504 0.0000 0.0000
0.0000 4.8436 0.0000
0.0000 0.0000 9.8593
Sr Cu Rh
2 2 4
Cartesian
0.0000 0.0000 0.0000
1.5252 2.4218 4.9297
0.0000 2.4218 7.6867
1.5252 0.0000 2.7571
0.0000 0.0000 4.9123
0.0000 2.4218 2.1748
1.5252 0.0000 7.1045
1.5252 2.4218 9.8420
```

Results
formation energy from the elements = 227 meV/atom
M_tot = 0.000 μB per atom
density of states at the Fermi level = 11.168 states/eV/cell
SG = No. 44
density = 8.138 g/cm3
ΔE to the lowest computed polymorph = 365 meV per atom

---

(9)
The following is a PBE-GGA calculation of crystalline SrCu2Rh at its relaxed geometry, from Alexandria.

```
SrCu2Rh
1.0
3.3702 0.0000 0.0000
0.0000 4.0251 0.0000
-1.4326 0.0000 5.6321
Sr Cu Rh
1 2 1
Cartesian
0.0000 0.0000 0.0000
1.6883 2.0126 1.5053
1.5964 0.0000 2.8513
-0.0077 2.0126 3.4223
```

Results
formation energy from the elements = 139 meV/atom
M_tot = 0.000 μB per atom
density of states at the Fermi level = 2.269 states/eV/cell
SG = No. 6
density = 6.903 g/cm3
ΔE to the lowest computed polymorph = 279 meV per atom

---

(10)
The following is a PBE-GGA calculation of crystalline SrCuRh2 at its relaxed geometry, from Alexandria.

```
SrCuRh2
1.0
3.1814 0.0000 0.0000
-1.5907 2.7552 0.0000
0.0000 0.0000 24.9462
Sr Cu Rh
3 3 6
Cartesian
0.0000 0.0000 0.0000
0.0000 1.8368 16.6308
1.5907 0.9184 8.3154
0.0000 0.0000 12.4731
0.0000 1.8368 4.1577
1.5907 0.9184 20.7885
0.0000 0.0000 5.9272
0.0000 0.0000 19.0190
0.0000 1.8368 10.7036
0.0000 1.8368 22.5580
1.5907 0.9184 2.3882
1.5907 0.9184 14.2426
```

Results
formation energy from the elements = 482 meV/atom
M_tot = 0.000 μB per atom
density of states at the Fermi level = 15.712 states/eV/cell
SG = No. 166
density = 8.133 g/cm3
ΔE to the lowest computed polymorph = 619 meV per atom

---

(11)
The following is a PBE-GGA calculation of crystalline SrCu2Rh at its relaxed geometry, from Alexandria.

```
SrCu2Rh
1.0
4.1745 0.0000 0.0000
0.0000 4.1745 0.0000
0.0000 0.0000 8.2235
Sr Cu Rh
2 4 2
Cartesian
0.0000 0.0000 0.0000
2.0872 2.0872 4.1117
0.0000 0.0000 4.1117
0.0000 2.0872 6.1676
2.0872 0.0000 2.0559
2.0872 2.0872 0.0000
0.0000 2.0872 2.0559
2.0872 0.0000 6.1676
```

Results
formation energy from the elements = 206 meV/atom
M_tot = 0.000 μB per atom
density of states at the Fermi level = 3.473 states/eV/cell
SG = No. 119
density = 7.361 g/cm3
ΔE to the lowest computed polymorph = 346 meV per atom

---

(12)
The following is a PBE-GGA calculation of crystalline Sr3Cu4Rh4 at its relaxed geometry, from Alexandria.

```
Sr3Cu4Rh4
1.0
-3.8710 3.8710 3.8710
3.8710 -3.8710 3.8710
3.8710 3.8710 -3.8710
Sr Cu Rh
3 4 4
Cartesian
3.8710 0.0000 0.0000
0.0000 3.8710 0.0000
0.0000 0.0000 3.8710
2.3433 2.3433 -2.3433
2.3433 -2.3433 2.3433
1.5277 1.5277 1.5277
-2.3433 2.3433 2.3433
0.9411 0.9411 -0.9411
0.9411 -0.9411 0.9411
-0.9411 0.9411 0.9411
2.9299 2.9299 2.9299
```

Results
formation energy from the elements = -48 meV/atom
M_tot = 0.000 μB per atom
density of states at the Fermi level = 14.036 states/eV/cell
SG = No. 217
density = 6.646 g/cm3

---

Which value of formation energy from the elements does entry 2 give?
248 meV/atom